20
Lattice="5.0406 0.0000 0.0000 0.0000 5.0406 0.0000 0.0000 0.0000 24.6669" Properties=species:S:1:pos:R:3 comment="Tl15InBi4, optimized geometry, DFT GGA-PBE" crystal_system=tetragonal total_energy_ev_per_cell=-54.07 volume_a3_per_cell=626.7 pbc="T T T"
Tl 0.0000 0.0000 0.0000
Tl 0.0000 0.0000 4.9363
Tl 0.0000 0.0000 9.8608
Tl 0.0000 0.0000 14.8062
Tl 0.0000 0.0000 19.7306
Tl 0.0000 2.5203 2.4570
Tl 0.0000 2.5203 7.3791
Tl 0.0000 2.5203 12.3335
Tl 0.0000 2.5203 17.2878
Tl 0.0000 2.5203 22.2099
Tl 2.5203 0.0000 2.4570
Tl 2.5203 0.0000 7.3791
Tl 2.5203 0.0000 12.3335
Tl 2.5203 0.0000 17.2878
Tl 2.5203 0.0000 22.2099
In 2.5203 2.5203 0.0000
Bi 2.5203 2.5203 4.7897
Bi 2.5203 2.5203 9.8212
Bi 2.5203 2.5203 14.8457
Bi 2.5203 2.5203 19.8773

=====

16
Lattice="4.4372 0.0000 0.0000 0.0000 9.6817 0.0000 0.0000 0.0000 11.9304" Properties=species:S:1:pos:R:3 comment="TlIn5Bi2, optimized geometry, DFT GGA-PBE" e_above_lowest_polymorph_mev_per_atom=53.0 crystal_system=orthorhombic total_energy_ev_per_cell=-46.69 volume_a3_per_cell=512.5 pbc="T T T"
Tl 0.0000 0.0000 0.0000
Tl 2.2186 4.8409 5.9652
In 0.0000 1.8029 4.3171
In 0.0000 1.8029 7.6133
In 0.0000 4.8409 0.0000
In 0.0000 7.8789 4.3171
In 0.0000 7.8789 7.6133
In 2.2186 0.0000 5.9652
In 2.2186 3.0380 1.6481
In 2.2186 3.0380 10.2823
In 2.2186 6.6437 1.6481
In 2.2186 6.6437 10.2823
Bi 0.0000 4.8409 3.3559
Bi 0.0000 4.8409 8.5745
Bi 2.2186 0.0000 2.6093
Bi 2.2186 0.0000 9.3211

=====

19
Lattice="7.5924 4.3835 3.0629 -7.5924 4.3835 3.0629 0.0000 -8.7669 3.0629" Properties=species:S:1:pos:R:3 comment="TlIn12Bi6, optimized geometry, DFT GGA-PBE" e_above_lowest_polymorph_mev_per_atom=10.5 crystal_system=trigonal total_energy_ev_per_cell=-56.90 volume_a3_per_cell=611.6 pbc="T T T"
Tl 0.0000 0.0000 0.0000
In -2.0448 -1.1806 2.0302
In -2.8421 -4.9227 4.5944
In -5.6842 0.0000 4.5944
In 2.0448 -1.1806 2.0302
In 0.0000 2.3611 2.0302
In 2.8421 -4.9227 4.5944
In -2.8421 4.9227 4.5944
In 0.0000 -2.3611 7.1586
In -2.0448 1.1806 7.1586
In 5.6842 0.0000 4.5944
In 2.8421 4.9227 4.5944
In 2.0448 1.1806 7.1586
Bi 0.0000 -3.2308 3.9029
Bi -2.7979 1.6154 3.9029
Bi -2.7979 -1.6154 5.2859
Bi 2.7979 1.6154 3.9029
Bi 2.7979 -1.6154 5.2858
Bi 0.0000 3.2308 5.2858

=====

Record-wise energy of formation values, in eV/atom: -0.015; 0.060; 0.085